FeTe3S PBE relaxed; density of states at the Fermi level = 5.6 states/eV/f.u.; DFT total energy = -3.48 eV/atom; M_tot = 3.76 μB/f.u.; space-group type = Pm-3m
1.0
5.204 0.000 0.000
0.000 5.204 0.000
0.000 0.000 5.204
Fe Te S
1 3 1
Direct
0.000 0.000 0.000
0.000 0.500 0.500
0.500 0.000 0.500
0.500 0.500 0.000
0.500 0.500 0.500

La2CuIr2 PBE relaxed; density of states at the Fermi level = 2.9 states/eV/f.u.; DFT total energy = -6.90 eV/atom; M_tot = 0.00 μB/f.u.; space-group type = C2/c; formation enthalpy at 0 K = -2.84 eV per formula unit
1.0
4.962 -2.796 0.000
4.962 2.796 0.000
-2.384 0.000 7.879
La Cu Ir
4 2 4
Direct
0.001 0.705 0.850
0.295 0.999 0.650
0.705 0.001 0.350
0.999 0.295 0.150
0.365 0.635 0.250
0.635 0.365 0.750
0.224 0.512 0.482
0.488 0.776 0.018
0.512 0.224 0.982
0.776 0.488 0.518

M_tot of number 2 (La2CuIr2)?
0.00 μB/f.u.

Among the records above, which one has the highest M_tot?
FeTe3S

What is the DFT total energy in the first record?
-3.48 eV/atom

The lowest DFT total energy belongs to which entry?
La2CuIr2